No. 1
Below is Zn4Ni15Ir after structural relaxation, with properties calculated at the PBE level.

abc: 3.5918 3.5918 17.8884
angles: 90.00 90.00 90.00
Element x y z (fractional)
Zn 0.0000 0.0000 0.0994
Zn 0.0000 0.0000 0.2976
Zn 0.0000 0.0000 0.7024
Zn 0.0000 0.0000 0.9006
Ni 0.0000 0.5000 0.0000
Ni 0.0000 0.5000 0.1991
Ni 0.0000 0.5000 0.3990
Ni 0.0000 0.5000 0.6010
Ni 0.0000 0.5000 0.8009
Ni 0.5000 0.0000 0.0000
Ni 0.5000 0.0000 0.1991
Ni 0.5000 0.0000 0.3990
Ni 0.5000 0.0000 0.6010
Ni 0.5000 0.0000 0.8009
Ni 0.5000 0.5000 0.0996
Ni 0.5000 0.5000 0.2991
Ni 0.5000 0.5000 0.5000
Ni 0.5000 0.5000 0.7009
Ni 0.5000 0.5000 0.9004
Ir 0.0000 0.0000 0.5000

For the formation energy, the calculation gives -1.8 eV/f.u. The crystal system is tetragonal.


No. 2
Below is ErMnAl2 after structural relaxation, with properties calculated at the PBE level.

abc: 9.3845 9.3845 9.3845
angles: 18.98 18.98 18.98
Element x y z (fractional)
Er 0.0000 0.0000 0.0000
Mn 0.5000 0.5000 0.5000
Al 0.2387 0.2387 0.2387
Al 0.7613 0.7613 0.7613

For the formation energy, the calculation gives 0.3 eV/f.u. The crystal system is trigonal.


No. 3
Below is PrYS2 after structural relaxation, with properties calculated at the PBE level.

abc: 3.9810 3.9810 7.0337
angles: 106.49 106.49 60.16
Element x y z (fractional)
Pr 0.0000 0.0000 0.0000
Y 0.5000 0.5000 0.5000
S 0.2441 0.2441 0.7318
S 0.7559 0.7559 0.2682

The calculation puts the energy above the most stable polymorph in this dataset at 0 meV per atom. The crystal system is monoclinic.


No. 4
Below is MgAsPt2 after structural relaxation, with properties calculated at the PBE level.

abc: 4.1663 4.1663 3.7218
angles: 90.00 90.00 90.00
Element x y z (fractional)
Mg 0.0000 0.0000 0.0000
As 0.5000 0.5000 0.0000
Pt 0.0000 0.5000 0.5000
Pt 0.5000 0.0000 0.5000

For the formation energy, the calculation gives -1.8 eV/f.u. The crystal system is tetragonal.


Computed electronic total energy, in the same sequence as the records: -102.45; -20.90; -27.56; -20.16 eV for the cell shown.